1.
PBE-GGA CoRe2Sb, relaxed; DOS at the Fermi energy = 4.320 states/eV/f.u.; energy relative to the elements, uncorrected = 0.5636 eV/atom; total DFT energy (no corrections) = -33.9 eV for the cell shown
1.0
3.0691 0.0000 0.0000
0.0000 3.0691 0.0000
0.0000 0.0000 6.4969
Co Re Sb
1 2 1
Direct
0.5000 0.5000 0.7500
0.0000 0.0000 0.5331
0.0000 0.0000 0.9669
0.5000 0.5000 0.2500

2.
PBE-GGA Co2ReSb, relaxed; DOS at the Fermi energy = 5.370 states/eV/f.u.; energy relative to the elements, uncorrected = 0.3509 eV/atom; total DFT energy (no corrections) = -29.4 eV for the cell shown
1.0
3.9597 0.0000 0.0000
0.0000 3.9597 0.0000
0.0000 0.0000 3.5964
Sb Co Re
1 2 1
Direct
0.0000 0.5000 0.5000
0.5000 0.5000 0.0000
0.0000 0.0000 0.0000
0.5000 0.0000 0.5000

3.
PBE-GGA CoRe2Sb, relaxed; DOS at the Fermi energy = 3.796 states/eV/f.u.; energy relative to the elements, uncorrected = 0.4580 eV/atom; total DFT energy (no corrections) = -34.3 eV for the cell shown
1.0
-4.4028 -0.6587 1.4534
-2.4881 -0.9214 3.8588
-1.1077 4.3532 1.3570
Re Co Sb
2 1 1
Direct
0.7365 0.7365 0.8098
0.0036 0.0036 0.9730
0.2574 0.2574 0.2495
0.5025 0.5025 0.4677